Density functional theory data (PBE) for a relaxed ScTa3 crystal.

The energy of formation comes out at 0.162 eV/atom.

It has space group P4/mmm (No. 123), with a = 3.369 Å, b = 3.369 Å, c = 6.914 Å, α = 90.00°, β = 90.00° and γ = 90.00°. The asymmetric unit holds Sc at (0.000, 0.000, 0.000), Ta at (0.000, 0.000, 0.500) and Ta at (0.500, 0.500, 0.283).